(1)
First-principles (GGA-PBEsol) data for Mn3PF after structural relaxation, as listed in Alexandria via LeMat-Bulk.

Unit cell a=4.105 b=4.105 c=4.105 alpha=90.00 beta=90.00 gamma=90.00
Space group Pm-3m (No. 221)
Asymmetric unit:
Mn 0.000 0.000 0.500 x3
P 0.500 0.500 0.500 x1
F 0.000 0.000 0.000 x1


(2)
First-principles (GGA-PBEsol) data for MgSnGe3 after structural relaxation, as listed in Alexandria via LeMat-Bulk.

Unit cell a=4.951 b=4.951 c=4.951 alpha=90.00 beta=90.00 gamma=90.00
Space group Pm-3m (No. 221)
Asymmetric unit:
Mg 0.000 0.000 0.000 x1
Sn 0.500 0.500 0.500 x1
Ge 0.000 0.000 0.500 x3


(3)
First-principles (GGA-PBEsol) data for Sr5Al3F19 after structural relaxation, as listed in Alexandria via LeMat-Bulk.

Unit cell a=14.032 b=14.032 c=7.137 alpha=90.00 beta=90.00 gamma=90.00
Space group I4/m (No. 87)
Asymmetric unit:
Sr 0.000 0.500 0.250 x4
Sr 0.054 0.782 0.000 x8
Sr 0.074 0.247 0.500 x8
Al 0.000 0.000 0.252 x4
Al 0.159 0.679 0.500 x8
F 0.000 0.000 0.000 x2
F 0.000 0.000 0.500 x2
F 0.047 0.119 0.240 x16
F 0.047 0.614 0.500 x8
F 0.073 0.616 0.000 x8
F 0.094 0.299 0.175 x16
F 0.103 0.755 0.327 x16
F 0.233 0.753 0.000 x8


(4)
First-principles (GGA-PBEsol) data for TcAs2P after structural relaxation, as listed in Alexandria via LeMat-Bulk.

Unit cell a=7.794 b=3.129 c=5.868 alpha=90.00 beta=98.24 gamma=90.00
Space group Cm (No. 8)
Asymmetric unit:
Tc 0.000 0.000 0.000 x2
As 0.036 0.500 0.362 x2
As 0.278 0.000 0.735 x2
P 0.224 0.500 0.097 x2


(5)
First-principles (GGA-PBEsol) data for SrAg2Ir after structural relaxation, as listed in Alexandria via LeMat-Bulk.

Unit cell a=2.983 b=4.180 c=6.201 alpha=90.00 beta=90.00 gamma=90.00
Space group Pmmm (No. 47)
Asymmetric unit:
Sr 0.000 0.000 0.000 x1
Ag 0.500 0.500 0.292 x2
Ir 0.000 0.000 0.500 x1

## Properties
Distance to the lowest polymorph of the same formula ... 198 meV/atom


(6)
First-principles (GGA-PBEsol) data for SrCo2Mo after structural relaxation, as listed in Alexandria via LeMat-Bulk.

Unit cell a=6.224 b=6.224 c=6.224 alpha=90.00 beta=90.00 gamma=90.00
Space group F-43m (No. 216)
Asymmetric unit:
Sr 0.000 0.000 0.000 x4
Co 0.000 0.000 0.500 x4
Co 0.250 0.250 0.750 x4
Mo 0.250 0.250 0.250 x4


(7)
First-principles (GGA-PBEsol) data for MnCu2Pt after structural relaxation, as listed in Alexandria via LeMat-Bulk.

Unit cell a=2.743 b=3.571 c=5.256 alpha=90.00 beta=90.00 gamma=90.00
Space group Pmm2 (No. 25)
Asymmetric unit:
Mn 0.000 0.000 0.000 x1
Cu 0.000 0.000 0.519 x1
Cu 0.500 0.500 0.746 x1
Pt 0.500 0.500 0.254 x1


(8)
First-principles (GGA-PBEsol) data for MnH2I after structural relaxation, as listed in Alexandria via LeMat-Bulk.

Unit cell a=5.912 b=5.912 c=5.912 alpha=90.00 beta=90.00 gamma=90.00
Space group Fm-3m (No. 225)
Asymmetric unit:
Mn 0.000 0.000 0.000 x4
H 0.250 0.250 0.250 x8
I 0.000 0.000 0.500 x4


(9)
First-principles (GGA-PBEsol) data for Rb2MoAs2O9 after structural relaxation, as listed in Alexandria via LeMat-Bulk.

Unit cell a=7.424 b=7.522 c=9.193 alpha=69.33 beta=77.48 gamma=86.28
Space group P-1 (No. 2)
Asymmetric unit:
Rb 0.086 0.217 0.122 x2
Rb 0.181 0.327 0.621 x2
Mo 0.434 0.742 0.762 x2
As 0.323 0.834 0.413 x2
As 0.334 0.684 0.139 x2
O 0.118 0.728 0.486 x2
O 0.130 0.786 0.123 x2
O 0.279 0.556 0.858 x2
O 0.290 0.932 0.724 x2
O 0.325 0.075 0.344 x2
O 0.329 0.443 0.231 x2
O 0.453 0.771 0.250 x2
O 0.470 0.732 0.544 x2
O 0.492 0.754 0.959 x2


(10)
First-principles (GGA-PBEsol) data for MgFeP4O12 after structural relaxation, as listed in Alexandria via LeMat-Bulk.

Unit cell a=11.850 b=8.308 c=9.966 alpha=90.00 beta=118.92 gamma=90.00
Space group C2/c (No. 15)
Asymmetric unit:
Mg 0.000 0.052 0.250 x4
Fe 0.250 0.250 0.500 x4
P 0.009 0.261 0.977 x8
P 0.197 0.491 0.197 x8
O 0.032 0.120 0.904 x8
O 0.046 0.238 0.414 x8
O 0.079 0.388 0.654 x8
O 0.143 0.358 0.064 x8
O 0.197 0.077 0.318 x8
O 0.229 0.419 0.348 x8


(11)
First-principles (GGA-PBEsol) data for Al2S3 after structural relaxation, as listed in Alexandria via LeMat-Bulk.

Unit cell a=5.985 b=10.369 c=6.061 alpha=90.00 beta=110.07 gamma=90.00
Space group C2/m (No. 12)
Asymmetric unit:
Al 0.000 0.000 0.000 x2
Al 0.000 0.156 0.500 x4
Al 0.000 0.500 0.500 x2
S 0.243 0.000 0.757 x4
S 0.247 0.161 0.270 x8


(12)
First-principles (GGA-PBEsol) data for Y2WO6 after structural relaxation, as listed in Alexandria via LeMat-Bulk.

Unit cell a=5.207 b=8.529 c=20.716 alpha=90.00 beta=90.00 gamma=90.00
Space group P2_12_12_1 (No. 19)
Asymmetric unit:
Y 0.009 0.250 0.200 x4
Y 0.040 0.756 0.568 x4
Y 0.043 0.414 0.435 x4
Y 0.091 0.397 0.665 x4
W 0.013 0.024 0.689 x4
W 0.069 0.018 0.443 x4
O 0.102 0.684 0.099 x4
O 0.123 0.676 0.868 x4
O 0.176 0.390 0.119 x4
O 0.178 0.878 0.747 x4
O 0.185 0.452 0.997 x4
O 0.203 0.051 0.878 x4
O 0.210 0.120 0.998 x4
O 0.211 0.375 0.860 x4
O 0.227 0.055 0.129 x4
O 0.228 0.184 0.722 x4
O 0.241 0.470 0.249 x4
O 0.242 0.177 0.485 x4

## Properties
Distance to the lowest polymorph of the same formula ... 25 meV/atom


Number 1: energy -7.109 eV/atom. Number 2: energy -3.508 eV/atom. Number 3: energy -5.949 eV/atom. Number 4: energy -6.868 eV/atom. Number 5: energy -4.263 eV/atom. Number 6: energy -6.179 eV/atom. Number 7: energy -6.423 eV/atom. Number 8: energy -3.519 eV/atom. Number 9: energy -6.749 eV/atom. Number 10: energy -7.528 eV/atom. Number 11: energy -5.338 eV/atom. Number 12: energy -9.618 eV/atom.